This record from the Alexandria database describes Cu2HgF8 after structural relaxation. The functional is PBE.

The structure belongs to space group P-3 (No. 147); the cell edges are 6.7671, 6.7671 and 3.8319 Å and the angles 90.00°, 90.00° and 120.00°. The inequivalent atoms are Cu at (0.3333, 0.6667, 0.2500), Hg at (0.0000, 0.0000, 0.0000), F at (0.1717, 0.8253, 0.2582) and F at (0.3333, 0.6667, 0.7503).

As for the formation energy without anion corrections: -1.22 eV per atom.